--- one ---
Here is crystalline Ac2Hg3Au2 at its relaxed geometry from the Alexandria database. Energies are from PBE-GGA.

Properties
Spin magnetization (μB per formula unit): 0.0

Unit cell a=11.235 b=4.417 c=7.871 alpha=90.00 beta=90.46 gamma=90.00
Space group C2/m (No. 12)
Symmetry-distinct sites (fractional):
Ac1 0.122 0.000 0.309 x4
Hg1 0.000 0.500 0.000 x2
Hg2 0.179 0.000 0.866 x4
Au1 0.098 0.500 0.618 x4


--- two ---
Here is crystalline Ac2Hg3Au2 at its relaxed geometry from the Alexandria database. Energies are from PBE-GGA.

Properties
Spin magnetization (μB per formula unit): 0.0

Unit cell a=10.619 b=4.880 c=7.727 alpha=90.00 beta=106.14 gamma=90.00
Space group C2/m (No. 12)
Symmetry-distinct sites (fractional):
Ac1 0.134 0.000 0.280 x4
Hg1 0.000 0.500 0.500 x2
Hg2 0.120 0.500 0.932 x4
Au1 0.172 0.000 0.710 x4


Energies in meV/atom, measured from the most stable structure: one 23; two 0.


--- one ---
Here is crystalline Ac4HgAu at its relaxed geometry from the Alexandria database. Energies are from PBE-GGA.

Properties
Spin magnetization (μB per formula unit): 0.0

Unit cell a=3.969 b=3.969 c=13.869 alpha=90.00 beta=90.00 gamma=90.00
Space group P4/mmm (No. 123)
Symmetry-distinct sites (fractional):
Ac1 0.000 0.000 0.137 x2
Ac2 0.500 0.500 0.351 x2
Hg1 0.000 0.000 0.500 x1
Au1 0.500 0.500 0.000 x1


--- two ---
Here is crystalline Ac4HgAu at its relaxed geometry from the Alexandria database. Energies are from PBE-GGA.

Properties
Spin magnetization (μB per formula unit): 0.0

Unit cell a=7.893 b=8.055 c=7.729 alpha=90.00 beta=95.35 gamma=90.00
Space group P2_1/c (No. 14)
Symmetry-distinct sites (fractional):
Ac1 0.155 0.157 0.174 x4
Ac2 0.342 0.652 0.122 x4
Hg1 0.500 0.000 0.000 x2
Au1 0.000 0.000 0.500 x2


Energies in meV/atom, measured from the most stable structure: one 0; two 104.


--- one ---
Here is crystalline AcHg4Au at its relaxed geometry from the Alexandria database. Energies are from PBE-GGA.

Properties
Spin magnetization (μB per formula unit): 0.0

Unit cell a=8.594 b=8.594 c=8.594 alpha=90.00 beta=90.00 gamma=90.00
Space group F-43m (No. 216)
Symmetry-distinct sites (fractional):
Ac1 0.000 0.000 0.000 x4
Hg1 0.124 0.124 0.624 x16
Au1 0.250 0.250 0.250 x4


--- two ---
Here is crystalline AcHg4Au at its relaxed geometry from the Alexandria database. Energies are from PBE-GGA.

Properties
Spin magnetization (μB per formula unit): 0.0

Unit cell a=5.400 b=20.184 c=5.873 alpha=90.00 beta=90.00 gamma=90.00
Space group Cmc2_1 (No. 36)
Symmetry-distinct sites (fractional):
Ac1 0.000 0.140 0.000 x4
Hg1 0.000 0.043 0.489 x4
Hg2 0.000 0.252 0.570 x4
Hg3 0.000 0.311 0.100 x4
Hg4 0.000 0.452 0.268 x4
Au1 0.000 0.405 0.745 x4


--- three ---
Here is crystalline AcHg4Au at its relaxed geometry from the Alexandria database. Energies are from PBE-GGA.

Properties
Spin magnetization (μB per formula unit): 0.0

Unit cell a=5.196 b=17.675 c=7.080 alpha=90.00 beta=90.00 gamma=90.00
Space group Cmc2_1 (No. 36)
Symmetry-distinct sites (fractional):
Ac1 0.000 0.158 0.000 x4
Hg1 0.000 0.035 0.419 x4
Hg2 0.000 0.208 0.469 x4
Hg3 0.000 0.360 0.177 x4
Hg4 0.000 0.470 0.623 x4
Au1 0.000 0.317 0.771 x4


Energies in meV/atom, measured from the most stable structure: one 168; two 41; three 0.


--- one ---
Here is crystalline Ac2Hg5Au at its relaxed geometry from the Alexandria database. Energies are from PBE-GGA.

Properties
Spin magnetization (μB per formula unit): 0.0

Unit cell a=4.126 b=21.792 c=10.248 alpha=90.00 beta=90.00 gamma=90.00
Space group Cmcm (No. 63)
Symmetry-distinct sites (fractional):
Ac1 0.000 0.000 0.000 x4
Ac2 0.000 0.178 0.250 x4
Hg1 0.000 0.213 0.604 x8
Hg2 0.000 0.372 0.506 x8
Hg3 0.000 0.425 0.250 x4
Au1 0.000 0.443 0.750 x4


--- two ---
Here is crystalline Ac2Hg5Au at its relaxed geometry from the Alexandria database. Energies are from PBE-GGA.

Properties
Spin magnetization (μB per formula unit): 0.0

Unit cell a=7.108 b=13.841 c=4.664 alpha=90.00 beta=90.00 gamma=90.00
Space group Pbam (No. 55)
Symmetry-distinct sites (fractional):
Ac1 0.212 0.115 0.000 x4
Hg1 0.000 0.500 0.500 x2
Hg2 0.065 0.765 0.500 x4
Hg3 0.202 0.367 0.000 x4
Au1 0.000 0.000 0.500 x2


Energies in meV/atom, measured from the most stable structure: one 0; two 15.


--- one ---
Here is crystalline Ac3HgAu at its relaxed geometry from the Alexandria database. Energies are from PBE-GGA.

Properties
Spin magnetization (μB per formula unit): 0.0

Unit cell a=15.284 b=8.203 c=13.349 alpha=90.00 beta=111.44 gamma=90.00
Space group C2/c (No. 15)
Symmetry-distinct sites (fractional):
Ac1 0.055 0.244 0.037 x8
Ac2 0.142 0.092 0.780 x8
Ac3 0.168 0.423 0.366 x8
Hg1 0.158 0.381 0.620 x8
Au1 0.000 0.188 0.250 x4
Au2 0.250 0.250 0.000 x4


--- two ---
Here is crystalline Ac3HgAu at its relaxed geometry from the Alexandria database. Energies are from PBE-GGA.

Properties
Spin magnetization (μB per formula unit): 0.0

Unit cell a=5.663 b=21.482 c=5.658 alpha=90.00 beta=90.00 gamma=90.00
Space group Cmcm (No. 63)
Symmetry-distinct sites (fractional):
Ac1 0.000 0.067 0.250 x4
Ac2 0.000 0.249 0.250 x4
Ac3 0.000 0.430 0.250 x4
Hg1 0.000 0.156 0.750 x4
Au1 0.000 0.341 0.750 x4


Energies in meV/atom, measured from the most stable structure: one 98; two 0.


--- one ---
Here is crystalline Ac3HgAu3 at its relaxed geometry from the Alexandria database. Energies are from PBE-GGA.

Properties
Spin magnetization (μB per formula unit): 0.0

Unit cell a=9.5314 b=9.5314 c=6.2934 alpha=90.00 beta=90.00 gamma=120.00
Space group P6_3/m (No. 176)
Symmetry-distinct sites (fractional):
Ac1 0.0313 0.6799 0.2500 x6
Hg1 0.3333 0.6667 0.7500 x2
Au1 0.0263 0.6811 0.7500 x6


--- two ---
Here is crystalline Ac3HgAu3 at its relaxed geometry from the Alexandria database. Energies are from PBE-GGA.

Properties
Spin magnetization (μB per formula unit): 0.0

Unit cell a=4.189 b=4.720 c=21.498 alpha=90.00 beta=90.00 gamma=90.00
Space group Imm2 (No. 44)
Symmetry-distinct sites (fractional):
Ac1 0.000 0.000 0.000 x2
Ac2 0.000 0.000 0.370 x2
Ac3 0.000 0.500 0.171 x2
Hg1 0.000 0.500 0.749 x2
Au1 0.000 0.000 0.531 x2
Au2 0.000 0.000 0.839 x2
Au3 0.000 0.500 0.616 x2


Energies in meV/atom, measured from the most stable structure: one 141; two 0.


--- one ---
Here is crystalline AcHg2Au2 at its relaxed geometry from the Alexandria database. Energies are from PBE-GGA.

Properties
Spin magnetization (μB per formula unit): 0.0

Unit cell a=11.020 b=4.682 c=5.544 alpha=90.00 beta=112.80 gamma=90.00
Space group C2/m (No. 12)
Symmetry-distinct sites (fractional):
Ac1 0.000 0.000 0.000 x2
Hg1 0.139 0.500 0.552 x4
Au1 0.219 0.500 0.123 x4


--- two ---
Here is crystalline AcHg2Au2 at its relaxed geometry from the Alexandria database. Energies are from PBE-GGA.

Properties
Spin magnetization (μB per formula unit): 0.0

Unit cell a=6.765 b=8.088 c=5.880 alpha=90.00 beta=124.95 gamma=90.00
Space group C2/m (No. 12)
Symmetry-distinct sites (fractional):
Ac1 0.000 0.000 0.000 x2
Hg1 0.141 0.500 0.287 x4
Au1 0.000 0.248 0.500 x4


Energies in meV/atom, measured from the most stable structure: one 0; two 58.


--- one ---
Here is crystalline LiAcHgAu at its relaxed geometry from the Alexandria database. Energies are from PBE-GGA.

Properties
Spin magnetization (μB per formula unit): 0.0

Unit cell a=8.267 b=4.782 c=5.890 alpha=90.00 beta=118.09 gamma=90.00
Space group Cm (No. 8)
Symmetry-distinct sites (fractional):
Li1 0.000 0.000 0.000 x2
Ac1 0.013 0.500 0.539 x2
Hg1 0.225 0.500 0.175 x2
Au1 0.300 0.000 0.902 x2


--- two ---
Here is crystalline LiAcHgAu at its relaxed geometry from the Alexandria database. Energies are from PBE-GGA.

Properties
Spin magnetization (μB per formula unit): 0.0

Unit cell a=7.481 b=7.481 c=7.481 alpha=90.00 beta=90.00 gamma=90.00
Space group F-43m (No. 216)
Symmetry-distinct sites (fractional):
Li1 0.000 0.000 0.000 x4
Ac1 0.000 0.000 0.500 x4
Hg1 0.250 0.250 0.750 x4
Au1 0.250 0.250 0.250 x4


Energies in meV/atom, measured from the most stable structure: one 0; two 62.


--- one ---
Here is crystalline AcPmHgAu at its relaxed geometry from the Alexandria database. Energies are from PBE-GGA.

Properties
Spin magnetization (μB per formula unit): 0.0

Unit cell a=3.849 b=3.849 c=7.788 alpha=90.00 beta=90.00 gamma=90.00
Space group P4mm (No. 99)
Symmetry-distinct sites (fractional):
Ac1 0.000 0.000 0.000 x1
Pm1 0.000 0.000 0.476 x1
Hg1 0.500 0.500 0.719 x1
Au1 0.500 0.500 0.265 x1


--- two ---
Here is crystalline AcPmHgAu at its relaxed geometry from the Alexandria database. Energies are from PBE-GGA.

Properties
Spin magnetization (μB per formula unit): 0.0

Unit cell a=7.745 b=7.745 c=7.745 alpha=90.00 beta=90.00 gamma=90.00
Space group F-43m (No. 216)
Symmetry-distinct sites (fractional):
Ac1 0.000 0.000 0.000 x4
Pm1 0.000 0.000 0.500 x4
Hg1 0.250 0.250 0.750 x4
Au1 0.250 0.250 0.250 x4


Energies in meV/atom, measured from the most stable structure: one 0; two 33.


--- one ---
Here is crystalline AcPrHgAu at its relaxed geometry from the Alexandria database. Energies are from PBE-GGA.

Properties
Spin magnetization (μB per formula unit): 0.0

Unit cell a=7.793 b=7.793 c=7.793 alpha=90.00 beta=90.00 gamma=90.00
Space group F-43m (No. 216)
Symmetry-distinct sites (fractional):
Ac1 0.000 0.000 0.000 x4
Pr1 0.000 0.000 0.500 x4
Hg1 0.250 0.250 0.250 x4
Au1 0.250 0.250 0.750 x4


--- two ---
Here is crystalline AcPrHgAu at its relaxed geometry from the Alexandria database. Energies are from PBE-GGA.

Properties
Spin magnetization (μB per formula unit): 0.0

Unit cell a=3.882 b=3.882 c=7.817 alpha=90.00 beta=90.00 gamma=90.00
Space group P4mm (No. 99)
Symmetry-distinct sites (fractional):
Ac1 0.000 0.000 0.000 x1
Pr1 0.000 0.000 0.475 x1
Hg1 0.500 0.500 0.722 x1
Au1 0.500 0.500 0.254 x1


Energies in meV/atom, measured from the most stable structure: one 24; two 0.


--- one ---
Here is crystalline AcHoAu2 at its relaxed geometry from the Alexandria database. Energies are from PBE-GGA.

Properties
Spin magnetization (μB per formula unit): 0.0

Unit cell a=5.908 b=4.821 c=7.937 alpha=90.00 beta=106.02 gamma=90.00
Space group P2_1/m (No. 11)
Symmetry-distinct sites (fractional):
Ac1 0.226 0.250 0.431 x2
Ho1 0.227 0.250 0.940 x2
Au1 0.313 0.750 0.176 x2
Au2 0.334 0.750 0.740 x2


--- two ---
Here is crystalline AcHoAu2 at its relaxed geometry from the Alexandria database. Energies are from PBE-GGA.

Properties
Spin magnetization (μB per formula unit): 0.0

Unit cell a=7.538 b=7.538 c=7.538 alpha=90.00 beta=90.00 gamma=90.00
Space group Fm-3m (No. 225)
Symmetry-distinct sites (fractional):
Ac1 0.000 0.000 0.000 x4
Ho1 0.000 0.000 0.500 x4
Au1 0.250 0.250 0.250 x8


Energies in meV/atom, measured from the most stable structure: one 0; two 84.


--- one ---
Here is crystalline AcHoAu2 at its relaxed geometry from the Alexandria database. Energies are from PBE-GGA.

Properties
Spin magnetization (μB per formula unit): 0.0

Unit cell a=4.2377 b=4.2377 c=22.8036 alpha=90.00 beta=90.00 gamma=120.00
Space group R3m (No. 160, hexagonal axes)
Symmetry-distinct sites (fractional):
Ac1 0.0000 0.0000 0.0000 x3
Ho1 0.0000 0.0000 0.8290 x3
Au1 0.0000 0.0000 0.4243 x3
Au2 0.0000 0.0000 0.5709 x3


--- two ---
Here is crystalline AcHoAu2 at its relaxed geometry from the Alexandria database. Energies are from PBE-GGA.

Properties
Spin magnetization (μB per formula unit): 0.0

Unit cell a=3.9330 b=3.9330 c=29.2631 alpha=90.00 beta=90.00 gamma=120.00
Space group R-3m (No. 166, hexagonal axes)
Symmetry-distinct sites (fractional):
Ac1 0.0000 0.0000 0.0000 x3
Ho1 0.0000 0.0000 0.5000 x3
Au1 0.0000 0.0000 0.1057 x6


Energies in meV/atom, measured from the most stable structure: one 0; two 415.